# 1
Computed, not measured: a relaxed structure of Ge2BIBr at the PBE-GGA level of DFT.

Calculated values
* magnetic moment: 0.06 μB per cell
* E_form (uncorrected): 1.815 eV per atom
* space-group type: No. 123

CIF file:
```
data_Ge2BIBr
_cell_length_a 5.489
_cell_length_b 6.820
_cell_length_c 5.489
_cell_angle_alpha 90.00
_cell_angle_beta 90.00
_cell_angle_gamma 90.00
_space_group_name_H-M_alt 'P 1'
_space_group_IT_number 1
_space_group_name_Hall 'P 1'
loop_
_atom_site_label
_atom_site_fract_x
_atom_site_fract_y
_atom_site_fract_z
Ge1 0.500 0.000 0.000
Ge2 0.000 0.000 0.500
Br1 0.000 0.500 0.000
I1 0.000 0.000 0.000
B1 0.500 0.500 0.500
```

***

# 2
Computed, not measured: a relaxed structure of Y3HoBi4 at the PBE-GGA level of DFT.

Calculated values
* magnetic moment: 0.00 μB per cell
* space-group type: No. 65
* ΔE_f: -85.1 kJ per mole of atoms

CIF file:
```
data_Y3HoBi4
_cell_length_a 4.480
_cell_length_b 7.754
_cell_length_c 7.754
_cell_angle_alpha 109.46
_cell_angle_beta 90.00
_cell_angle_gamma 90.00
_space_group_name_H-M_alt 'P 1'
_space_group_IT_number 1
_space_group_name_Hall 'P 1'
loop_
_atom_site_label
_atom_site_fract_x
_atom_site_fract_y
_atom_site_fract_z
Y1 0.000 0.500 0.000
Y2 0.500 0.500 0.500
Y3 0.000 0.000 0.500
Bi1 0.500 0.751 0.249
Bi2 0.500 0.249 0.751
Bi3 0.000 0.751 0.751
Bi4 0.000 0.249 0.249
Ho1 0.500 0.000 0.000
```

***

Question: magnetic moment of number 2 (Y3HoBi4)?
Answer: 0.00 μB per cell

***

What did the first record say?
Computed, not measured: a relaxed structure of Ge2BIBr at the PBE-GGA level of DFT.

Calculated values
* magnetic moment: 0.06 μB per cell
* E_form (uncorrected): 1.815 eV per atom
* space-group type: No. 123

CIF file:
```
data_Ge2BIBr
_cell_length_a 5.489
_cell_length_b 6.820
_cell_length_c 5.489
_cell_angle_alpha 90.00
_cell_angle_beta 90.00
_cell_angle_gamma 90.00
_space_group_name_H-M_alt 'P 1'
_space_group_IT_number 1
_space_group_name_Hall 'P 1'
loop_
_atom_site_label
_atom_site_fract_x
_atom_site_fract_y
_atom_site_fract_z
Ge1 0.500 0.000 0.000
Ge2 0.000 0.000 0.500
Br1 0.000 0.500 0.000
I1 0.000 0.000 0.000
B1 0.500 0.500 0.500
```